The following is a GGA+U calculation of crystalline HoTlV2O8 at its relaxed geometry, from the Alexandria database.

total DFT energy (no corrections) = -85.6 eV per cell
spin magnetization = 0.000 μB/atom
symmetry = I-4m2, No. 119

Unit cell a=5.9931 b=5.9931 c=5.9931 alpha=106.68 beta=106.68 gamma=115.21
Element x y z (fractional)
Ho (0.0000, 0.0000, 0.0000)
Tl (0.2500, 0.7500, 0.5000)
V (0.7500, 0.2500, 0.5000)
V (0.5000, 0.5000, 0.0000)
O (0.3911, 0.0822, 0.3088)
O (0.3230, 0.5079, 0.1849)
O (0.3230, 0.1380, 0.8151)
O (0.7734, 0.0822, 0.6912)
O (0.8620, 0.6770, 0.1849)
O (0.9178, 0.2266, 0.3088)
O (0.9178, 0.6089, 0.6912)
O (0.4921, 0.6770, 0.8151)